i) A plane-wave DFT calculation with PBE was carried out for crystalline InSn3C at its relaxed geometry.

Structure (CIF):
```
data_InSn3C
_cell_length_a 4.861
_cell_length_b 4.861
_cell_length_c 4.861
_cell_angle_alpha 90.00
_cell_angle_beta 90.00
_cell_angle_gamma 90.00
_symmetry_space_group_name_H-M 'P 1'
_symmetry_Int_Tables_number 1
_symmetry_space_group_name_Hall 'P 1'
loop_
_atom_site_label
_atom_site_fract_x
_atom_site_fract_y
_atom_site_fract_z
In1 0.000 0.000 0.000
Sn1 0.000 0.500 0.500
Sn2 0.500 0.000 0.500
Sn3 0.500 0.500 0.000
C1 0.500 0.500 0.500
```

- Size of the total moment: 0.00 μB/f.u.
- Crystal system: cubic
- Space group: Pm-3m (221)
- Density of states at the Fermi level: 3.12 states/eV per cell


ii) A plane-wave DFT calculation with PBE was carried out for crystalline InSn3C at its relaxed geometry.

Structure (CIF):
```
data_InSn3C
_cell_length_a 5.646
_cell_length_b 5.646
_cell_length_c 5.646
_cell_angle_alpha 90.00
_cell_angle_beta 90.00
_cell_angle_gamma 90.00
_symmetry_space_group_name_H-M 'P 1'
_symmetry_Int_Tables_number 1
_symmetry_space_group_name_Hall 'P 1'
loop_
_atom_site_label
_atom_site_fract_x
_atom_site_fract_y
_atom_site_fract_z
In1 0.000 0.000 0.000
Sn1 0.000 0.000 0.500
Sn2 0.000 0.500 0.000
Sn3 0.500 0.000 0.000
C1 0.500 0.500 0.500
```

- Size of the total moment: 1.49 μB/f.u.
- Crystal system: cubic
- Space group: Pm-3m (221)
- Density of states at the Fermi level: 2.66 states/eV per cell


The structure with the least stability is ii).


i) A plane-wave DFT calculation with PBE was carried out for crystalline SrIn3C at its relaxed geometry.

Structure (CIF):
```
data_SrIn3C
_cell_length_a 5.022
_cell_length_b 5.022
_cell_length_c 5.022
_cell_angle_alpha 90.00
_cell_angle_beta 90.00
_cell_angle_gamma 90.00
_symmetry_space_group_name_H-M 'P 1'
_symmetry_Int_Tables_number 1
_symmetry_space_group_name_Hall 'P 1'
loop_
_atom_site_label
_atom_site_fract_x
_atom_site_fract_y
_atom_site_fract_z
Sr1 0.000 0.000 0.000
In1 0.000 0.500 0.500
In2 0.500 0.000 0.500
In3 0.500 0.500 0.000
C1 0.500 0.500 0.500
```

- Size of the total moment: 0.00 μB/f.u.
- Crystal system: cubic
- Space group: Pm-3m (221)
- Density of states at the Fermi level: 2.39 states/eV per cell


ii) A plane-wave DFT calculation with PBE was carried out for crystalline SrIn3C at its relaxed geometry.

Structure (CIF):
```
data_SrIn3C
_cell_length_a 6.361
_cell_length_b 6.361
_cell_length_c 6.361
_cell_angle_alpha 90.00
_cell_angle_beta 90.00
_cell_angle_gamma 90.00
_symmetry_space_group_name_H-M 'P 1'
_symmetry_Int_Tables_number 1
_symmetry_space_group_name_Hall 'P 1'
loop_
_atom_site_label
_atom_site_fract_x
_atom_site_fract_y
_atom_site_fract_z
Sr1 0.000 0.000 0.000
In1 0.000 0.000 0.500
In2 0.000 0.500 0.000
In3 0.500 0.000 0.000
C1 0.500 0.500 0.500
```

- Size of the total moment: 1.01 μB/f.u.
- Crystal system: cubic
- Space group: Pm-3m (221)
- Density of states at the Fermi level: 4.94 states/eV per cell


The structure with the least stability is ii).


i) A plane-wave DFT calculation with PBE was carried out for crystalline SrInC3 at its relaxed geometry.

Structure (CIF):
```
data_SrInC3
_cell_length_a 4.438
_cell_length_b 4.438
_cell_length_c 4.438
_cell_angle_alpha 90.00
_cell_angle_beta 90.00
_cell_angle_gamma 90.00
_symmetry_space_group_name_H-M 'P 1'
_symmetry_Int_Tables_number 1
_symmetry_space_group_name_Hall 'P 1'
loop_
_atom_site_label
_atom_site_fract_x
_atom_site_fract_y
_atom_site_fract_z
Sr1 0.000 0.000 0.000
In1 0.500 0.500 0.500
C1 0.000 0.500 0.500
C2 0.500 0.000 0.500
C3 0.500 0.500 0.000
```

- Size of the total moment: 0.00 μB/f.u.
- Crystal system: cubic
- Space group: Pm-3m (221)
- Density of states at the Fermi level: 3.71 states/eV per cell


ii) A plane-wave DFT calculation with PBE was carried out for crystalline SrInC3 at its relaxed geometry.

Structure (CIF):
```
data_SrInC3
_cell_length_a 4.747
_cell_length_b 4.747
_cell_length_c 4.747
_cell_angle_alpha 90.00
_cell_angle_beta 90.00
_cell_angle_gamma 90.00
_symmetry_space_group_name_H-M 'P 1'
_symmetry_Int_Tables_number 1
_symmetry_space_group_name_Hall 'P 1'
loop_
_atom_site_label
_atom_site_fract_x
_atom_site_fract_y
_atom_site_fract_z
Sr1 0.000 0.000 0.000
In1 0.500 0.500 0.500
C1 0.000 0.000 0.500
C2 0.000 0.500 0.000
C3 0.500 0.000 0.000
```

- Size of the total moment: 1.56 μB/f.u.
- Crystal system: cubic
- Space group: Pm-3m (221)
- Density of states at the Fermi level: 3.73 states/eV per cell


The structure with the least stability is ii).


i) A plane-wave DFT calculation with PBE was carried out for crystalline TaInC3 at its relaxed geometry.

Structure (CIF):
```
data_TaInC3
_cell_length_a 4.124
_cell_length_b 4.124
_cell_length_c 4.124
_cell_angle_alpha 90.00
_cell_angle_beta 90.00
_cell_angle_gamma 90.00
_symmetry_space_group_name_H-M 'P 1'
_symmetry_Int_Tables_number 1
_symmetry_space_group_name_Hall 'P 1'
loop_
_atom_site_label
_atom_site_fract_x
_atom_site_fract_y
_atom_site_fract_z
Ta1 0.000 0.000 0.000
In1 0.500 0.500 0.500
C1 0.000 0.500 0.500
C2 0.500 0.000 0.500
C3 0.500 0.500 0.000
```

- Size of the total moment: 0.00 μB/f.u.
- Crystal system: cubic
- Space group: Pm-3m (221)
- Density of states at the Fermi level: 3.51 states/eV per cell


ii) A plane-wave DFT calculation with PBE was carried out for crystalline TaInC3 at its relaxed geometry.

Structure (CIF):
```
data_TaInC3
_cell_length_a 4.252
_cell_length_b 4.252
_cell_length_c 4.252
_cell_angle_alpha 90.00
_cell_angle_beta 90.00
_cell_angle_gamma 90.00
_symmetry_space_group_name_H-M 'P 1'
_symmetry_Int_Tables_number 1
_symmetry_space_group_name_Hall 'P 1'
loop_
_atom_site_label
_atom_site_fract_x
_atom_site_fract_y
_atom_site_fract_z
Ta1 0.000 0.000 0.000
In1 0.500 0.500 0.500
C1 0.000 0.000 0.500
C2 0.000 0.500 0.000
C3 0.500 0.000 0.000
```

- Size of the total moment: 0.00 μB/f.u.
- Crystal system: cubic
- Space group: Pm-3m (221)
- Density of states at the Fermi level: 2.71 states/eV per cell


The structure with the least stability is i).


i) A plane-wave DFT calculation with PBE was carried out for crystalline Ta2InC at its relaxed geometry.

Structure (CIF):
```
data_Ta2InC
_cell_length_a 3.172
_cell_length_b 3.172
_cell_length_c 14.518
_cell_angle_alpha 90.00
_cell_angle_beta 90.00
_cell_angle_gamma 120.00
_symmetry_space_group_name_H-M 'P 1'
_symmetry_Int_Tables_number 1
_symmetry_space_group_name_Hall 'P 1'
loop_
_atom_site_label
_atom_site_fract_x
_atom_site_fract_y
_atom_site_fract_z
Ta1 0.333 0.667 0.083
Ta2 0.333 0.667 0.417
Ta3 0.667 0.333 0.583
Ta4 0.667 0.333 0.917
In1 0.333 0.667 0.750
In2 0.667 0.333 0.250
C1 0.000 0.000 0.000
C2 0.000 0.000 0.500
```

- Size of the total moment: 0.00 μB/f.u.
- Crystal system: hexagonal
- Space group: P6_3/mmc (194)
- Density of states at the Fermi level: 2.22 states/eV per cell


ii) A plane-wave DFT calculation with PBE was carried out for crystalline Ta2InC at its relaxed geometry.

Structure (CIF):
```
data_Ta2InC
_cell_length_a 7.528
_cell_length_b 7.528
_cell_length_c 7.528
_cell_angle_alpha 24.39
_cell_angle_beta 24.39
_cell_angle_gamma 24.39
_symmetry_space_group_name_H-M 'P 1'
_symmetry_Int_Tables_number 1
_symmetry_space_group_name_Hall 'P 1'
loop_
_atom_site_label
_atom_site_fract_x
_atom_site_fract_y
_atom_site_fract_z
Ta1 0.221 0.221 0.221
Ta2 0.779 0.779 0.779
In1 0.000 0.000 0.000
C1 0.500 0.500 0.500
```

- Size of the total moment: 0.00 μB/f.u.
- Crystal system: trigonal
- Space group: R-3m (166)
- Density of states at the Fermi level: 1.70 states/eV per cell


iii) A plane-wave DFT calculation with PBE was carried out for crystalline Ta2InC at its relaxed geometry.

Structure (CIF):
```
data_Ta2InC
_cell_length_a 6.664
_cell_length_b 6.664
_cell_length_c 6.664
_cell_angle_alpha 130.78
_cell_angle_beta 130.78
_cell_angle_gamma 72.16
_symmetry_space_group_name_H-M 'P 1'
_symmetry_Int_Tables_number 1
_symmetry_space_group_name_Hall 'P 1'
loop_
_atom_site_label
_atom_site_fract_x
_atom_site_fract_y
_atom_site_fract_z
Ta1 0.375 0.244 0.369
Ta2 0.756 0.125 0.131
Ta3 0.875 0.006 0.631
Ta4 0.994 0.625 0.869
In1 0.250 0.750 0.500
In2 0.500 0.500 0.000
C1 0.000 0.000 0.000
C2 0.750 0.250 0.500
```

- Size of the total moment: 0.00 μB/f.u.
- Crystal system: tetragonal
- Space group: I-42d (122)
- Density of states at the Fermi level: 6.91 states/eV per cell


The structure with the least stability is iii).


i) A plane-wave DFT calculation with PBE was carried out for crystalline Ta2InWC at its relaxed geometry.

Structure (CIF):
```
data_Ta2InWC
_cell_length_a 4.415
_cell_length_b 4.415
_cell_length_c 4.118
_cell_angle_alpha 90.00
_cell_angle_beta 90.00
_cell_angle_gamma 90.00
_symmetry_space_group_name_H-M 'P 1'
_symmetry_Int_Tables_number 1
_symmetry_space_group_name_Hall 'P 1'
loop_
_atom_site_label
_atom_site_fract_x
_atom_site_fract_y
_atom_site_fract_z
Ta1 0.000 0.500 0.000
Ta2 0.500 0.000 0.000
In1 0.000 0.000 0.500
W1 0.500 0.500 0.500
C1 0.500 0.500 0.000
```

- Size of the total moment: 0.00 μB/f.u.
- Crystal system: tetragonal
- Space group: P4/mmm (123)
- Density of states at the Fermi level: 5.24 states/eV per cell


ii) A plane-wave DFT calculation with PBE was carried out for crystalline Ta2InWC at its relaxed geometry.

Structure (CIF):
```
data_Ta2InWC
_cell_length_a 5.119
_cell_length_b 5.119
_cell_length_c 3.798
_cell_angle_alpha 90.00
_cell_angle_beta 90.00
_cell_angle_gamma 90.00
_symmetry_space_group_name_H-M 'P 1'
_symmetry_Int_Tables_number 1
_symmetry_space_group_name_Hall 'P 1'
loop_
_atom_site_label
_atom_site_fract_x
_atom_site_fract_y
_atom_site_fract_z
Ta1 0.000 0.500 0.000
Ta2 0.500 0.000 0.000
In1 0.000 0.000 0.000
W1 0.500 0.500 0.500
C1 0.000 0.000 0.500
```

- Size of the total moment: 0.00 μB/f.u.
- Crystal system: tetragonal
- Space group: P4/mmm (123)
- Density of states at the Fermi level: 3.06 states/eV per cell


The structure with the least stability is ii).